No. 1
# SmDy2ScSe4, relaxed, DFT GGA-PBE
data_SmDy2ScSe4
_chemical_formula_sum 'Sm1 Dy2 Sc1 Se4'
_space_group_name_H-M_alt 'P 1'
_space_group_IT_number 1
_cell_length_a 4.015
_cell_length_b 7.103
_cell_length_c 7.005
_cell_angle_alpha 108.96
_cell_angle_beta 90.00
_cell_angle_gamma 90.00
loop_
_space_group_symop_operation_xyz
'x,y,z'
loop_
_atom_site_label
_atom_site_fract_x
_atom_site_fract_y
_atom_site_fract_z
Se1 0.500 0.237 0.243
Se2 0.000 0.239 0.749
Se3 0.000 0.761 0.251
Se4 0.500 0.763 0.757
Dy1 0.500 0.000 0.500
Dy2 0.000 0.500 0.500
Sm1 0.500 0.500 0.000
Sc1 0.000 0.000 0.000
# space group	P2/m
# formation energy (no corrections)	-1.7069	eV per atom
# E_tot	-47.85	eV/cell

---

No. 2
# SrDy4ScSe8, relaxed, DFT GGA-PBE
data_SrDy4ScSe8
_chemical_formula_sum 'Sr1 Dy4 Sc1 Se8'
_space_group_name_H-M_alt 'P 1'
_space_group_IT_number 1
_cell_length_a 8.520
_cell_length_b 8.520
_cell_length_c 8.393
_cell_angle_alpha 59.50
_cell_angle_beta 59.50
_cell_angle_gamma 60.00
loop_
_space_group_symop_operation_xyz
'x,y,z'
loop_
_atom_site_label
_atom_site_fract_x
_atom_site_fract_y
_atom_site_fract_z
Se1 0.763 0.224 0.251
Se2 0.795 0.229 0.748
Se3 0.238 0.238 0.285
Se4 0.763 0.763 0.251
Se5 0.229 0.795 0.748
Se6 0.757 0.757 0.728
Se7 0.229 0.229 0.748
Se8 0.224 0.763 0.251
Dy1 0.493 0.002 0.502
Dy2 0.002 0.493 0.502
Dy3 0.623 0.623 0.131
Dy4 0.002 0.002 0.502
Sr1 0.380 0.380 0.861
Sc1 0.002 0.002 0.994
# space group	R3m
# formation energy (no corrections)	-1.7578	eV per atom
# E_tot	-78.91	eV/cell

---

No. 3
# Sr3Dy3ScSe8, relaxed, DFT GGA-PBE
data_Sr3Dy3ScSe8
_chemical_formula_sum 'Sr3 Dy3 Sc1 Se8'
_space_group_name_H-M_alt 'P 1'
_space_group_IT_number 1
_cell_length_a 8.260
_cell_length_b 8.261
_cell_length_c 8.585
_cell_angle_alpha 118.76
_cell_angle_beta 90.00
_cell_angle_gamma 120.00
loop_
_space_group_symop_operation_xyz
'x,y,z'
loop_
_atom_site_label
_atom_site_fract_x
_atom_site_fract_y
_atom_site_fract_z
Se1 0.256 0.513 0.269
Se2 0.764 0.015 0.279
Se3 0.236 0.472 0.721
Se4 0.749 0.985 0.721
Se5 0.744 0.487 0.731
Se6 0.251 0.015 0.279
Se7 0.236 0.985 0.721
Se8 0.764 0.528 0.279
Dy1 0.000 0.500 0.500
Dy2 0.500 0.000 0.500
Dy3 0.500 0.500 0.500
Sc1 0.000 0.000 0.500
Sr1 0.500 0.500 0.000
Sr2 0.000 0.000 0.000
Sr3 0.000 0.500 0.000
# space group	R-3m
# formation energy (no corrections)	-1.8990	eV per atom
# E_tot	-81.54	eV/cell

---

No. 4
# SrDySc4Se8, relaxed, DFT GGA-PBE
data_SrDySc4Se8
_chemical_formula_sum 'Sr1 Dy1 Sc4 Se8'
_space_group_name_H-M_alt 'P 1'
_space_group_IT_number 1
_cell_length_a 8.161
_cell_length_b 8.161
_cell_length_c 8.310
_cell_angle_alpha 60.59
_cell_angle_beta 60.59
_cell_angle_gamma 60.00
loop_
_space_group_symop_operation_xyz
'x,y,z'
loop_
_atom_site_label
_atom_site_fract_x
_atom_site_fract_y
_atom_site_fract_z
Sc1 0.001 0.497 0.502
Sc2 0.001 0.001 0.502
Sc3 0.626 0.626 0.121
Sc4 0.497 0.001 0.502
Se1 0.752 0.752 0.263
Se2 0.795 0.243 0.720
Se3 0.243 0.243 0.720
Se4 0.233 0.752 0.263
Se5 0.757 0.757 0.729
Se6 0.231 0.231 0.308
Se7 0.243 0.795 0.720
Se8 0.752 0.233 0.263
Dy1 0.002 0.002 0.994
Sr1 0.369 0.369 0.892
# space group	R3m
# formation energy (no corrections)	-1.6592	eV per atom
# E_tot	-82.72	eV/cell

---

No. 5
# Sr2DyScSe4, relaxed, DFT GGA-PBE
data_Sr2DyScSe4
_chemical_formula_sum 'Sr2 Dy1 Sc1 Se4'
_space_group_name_H-M_alt 'P 1'
_space_group_IT_number 1
_cell_length_a 4.158
_cell_length_b 7.182
_cell_length_c 7.385
_cell_angle_alpha 109.01
_cell_angle_beta 90.00
_cell_angle_gamma 90.00
loop_
_space_group_symop_operation_xyz
'x,y,z'
loop_
_atom_site_label
_atom_site_fract_x
_atom_site_fract_y
_atom_site_fract_z
Sr1 0.000 0.500 0.500
Sr2 0.500 0.000 0.500
Se1 0.500 0.766 0.778
Se2 0.000 0.251 0.774
Se3 0.000 0.749 0.226
Se4 0.500 0.234 0.222
Sc1 0.000 0.000 0.000
Dy1 0.500 0.500 0.000
# space group	P2/m
# formation energy (no corrections)	-1.8209	eV per atom
# E_tot	-42.80	eV/cell

---

No. 6
# TbDy3Sc2Se6, relaxed, DFT GGA-PBE
data_TbDy3Sc2Se6
_chemical_formula_sum 'Tb1 Dy3 Sc2 Se6'
_space_group_name_H-M_alt 'P 1'
_space_group_IT_number 1
_cell_length_a 6.954
_cell_length_b 6.954
_cell_length_c 6.965
_cell_angle_alpha 99.54
_cell_angle_beta 99.54
_cell_angle_gamma 120.21
loop_
_space_group_symop_operation_xyz
'x,y,z'
loop_
_atom_site_label
_atom_site_fract_x
_atom_site_fract_y
_atom_site_fract_z
Sc1 0.665 0.335 0.000
Sc2 0.335 0.665 0.000
Se1 0.735 0.735 0.237
Se2 0.425 0.080 0.242
Se3 0.575 0.920 0.758
Se4 0.080 0.425 0.242
Se5 0.920 0.575 0.758
Se6 0.265 0.265 0.763
Dy1 0.840 0.160 0.500
Dy2 0.500 0.500 0.500
Dy3 0.160 0.840 0.500
Tb1 0.000 0.000 0.000
# space group	C2/m
# formation energy (no corrections)	-1.6938	eV per atom
# E_tot	-72.33	eV/cell

---

No. 7
# Tb3Dy2ScSe6, relaxed, DFT GGA-PBE
data_Tb3Dy2ScSe6
_chemical_formula_sum 'Tb3 Dy2 Sc1 Se6'
_space_group_name_H-M_alt 'P 1'
_space_group_IT_number 1
_cell_length_a 4.044
_cell_length_b 8.141
_cell_length_c 9.060
_cell_angle_alpha 103.09
_cell_angle_beta 102.90
_cell_angle_gamma 90.00
loop_
_space_group_symop_operation_xyz
'x,y,z'
loop_
_atom_site_label
_atom_site_fract_x
_atom_site_fract_y
_atom_site_fract_z
Se1 0.339 0.918 0.678
Se2 0.333 0.418 0.666
Se3 0.001 0.761 0.002
Se4 0.661 0.082 0.322
Se5 0.667 0.582 0.334
Se6 0.999 0.239 0.998
Dy1 0.833 0.667 0.667
Dy2 0.167 0.333 0.333
Tb1 0.830 0.165 0.661
Tb2 0.500 0.500 0.000
Tb3 0.170 0.835 0.339
Sc1 0.500 0.000 0.000
# space group	C2/m
# formation energy (no corrections)	-1.7283	eV per atom
# E_tot	-71.07	eV/cell

---

No. 8
# Tb2DyScSe6, relaxed, DFT GGA-PBE
data_Tb2DyScSe6
_chemical_formula_sum 'Tb2 Dy1 Sc1 Se6'
_space_group_name_H-M_alt 'P 1'
_space_group_IT_number 1
_cell_length_a 7.122
_cell_length_b 7.123
_cell_length_c 7.611
_cell_angle_alpha 62.10
_cell_angle_beta 62.10
_cell_angle_gamma 59.99
loop_
_space_group_symop_operation_xyz
'x,y,z'
loop_
_atom_site_label
_atom_site_fract_x
_atom_site_fract_y
_atom_site_fract_z
Se1 0.422 0.708 0.760
Se2 0.708 0.110 0.760
Se3 0.110 0.422 0.760
Se4 0.217 0.939 0.252
Se5 0.939 0.593 0.252
Se6 0.593 0.217 0.252
Dy1 0.819 0.819 0.543
Sc1 0.322 0.322 0.034
Tb1 0.517 0.517 0.449
Tb2 0.015 0.015 0.956
# space group	R3
# formation energy (no corrections)	-1.7993	eV per atom
# E_tot	-59.09	eV/cell

---

No. 9
# TbDy2ScSe4, relaxed, DFT GGA-PBE
data_TbDy2ScSe4
_chemical_formula_sum 'Tb1 Dy2 Sc1 Se4'
_space_group_name_H-M_alt 'P 1'
_space_group_IT_number 1
_cell_length_a 3.998
_cell_length_b 7.001
_cell_length_c 7.024
_cell_angle_alpha 70.99
_cell_angle_beta 90.00
_cell_angle_gamma 90.00
loop_
_space_group_symop_operation_xyz
'x,y,z'
loop_
_atom_site_label
_atom_site_fract_x
_atom_site_fract_y
_atom_site_fract_z
Se1 0.500 0.254 0.756
Se2 0.000 0.741 0.761
Se3 0.000 0.259 0.239
Se4 0.500 0.746 0.244
Sc1 0.500 0.500 0.000
Dy1 0.000 0.000 0.000
Dy2 0.500 0.000 0.500
Tb1 0.000 0.500 0.500
# space group	P2/m
# formation energy (no corrections)	-1.7028	eV per atom
# E_tot	-47.73	eV/cell

---

No. 10
# TbDy2Sc3Se6, relaxed, DFT GGA-PBE
data_TbDy2Sc3Se6
_chemical_formula_sum 'Tb1 Dy2 Sc3 Se6'
_space_group_name_H-M_alt 'P 1'
_space_group_IT_number 1
_cell_length_a 6.887
_cell_length_b 6.887
_cell_length_c 6.917
_cell_angle_alpha 99.50
_cell_angle_beta 99.50
_cell_angle_gamma 120.26
loop_
_space_group_symop_operation_xyz
'x,y,z'
loop_
_atom_site_label
_atom_site_fract_x
_atom_site_fract_y
_atom_site_fract_z
Se1 0.423 0.089 0.266
Se2 0.754 0.754 0.266
Se3 0.577 0.911 0.734
Se4 0.246 0.246 0.734
Se5 0.911 0.577 0.734
Se6 0.089 0.423 0.266
Sc1 0.165 0.835 0.500
Sc2 0.835 0.165 0.500
Sc3 0.500 0.500 0.500
Dy1 0.334 0.666 0.000
Dy2 0.666 0.334 0.000
Tb1 0.000 0.000 0.000
# space group	C2/m
# formation energy (no corrections)	-1.6706	eV per atom
# E_tot	-73.78	eV/cell